Model a:
BaHo2Cd after structural relaxation. Source: the Alexandria database, functional PBE-GGA.

Unit cell a=3.616 b=3.616 c=12.282 alpha=81.53 beta=81.53 gamma=60.00
Each line ends with the local moment (μB).
Sites, in units of the cell vectors:
1 Cd 0.500 0.500 0.500  0.00
2 Ho 0.100 0.100 0.700  0.01
3 Ho 0.900 0.900 0.300  0.01
4 Ba 0.000 0.000 0.000  0.10

## Properties
- symmetry = R-3m (166)



Model b:
BaHo2Cd after structural relaxation. Source: the Alexandria database, functional PBE-GGA.

Unit cell a=3.798 b=3.798 c=9.617 alpha=90.00 beta=90.00 gamma=90.00
Sites, in units of the cell vectors:
1 Cd 0.500 0.500 0.000
2 Ho 0.000 0.000 0.817
3 Ho 0.000 0.000 0.183
4 Ba 0.500 0.500 0.500

## Properties
- symmetry = P4/mmm (123)



The structure with the least stability is model a.